Entry 1:
The following is a DFT calculation (PBE) of a relaxed structure of SmMg2AlPt4.

## Properties
- Energy of formation from the pure elements: -7.6 eV/f.u.

Lattice parameters (Å, degrees): 4.4739 4.4739 24.7316 90.00 90.00 120.00
Closest atoms and distances in Å follow each position.
Space group R-3m (No. 166, hexagonal axes)
Symmetry-distinct sites (fractional):
Sm  0.0000  0.0000  0.0000 x3  8 Pt 3.05-3.29, 6 Mg 3.41
Mg  0.0000  0.0000  0.2432 x6  7 Pt 2.65-2.79
Al  0.0000  0.0000  0.5000 x3  8 Pt 2.51-2.71
Pt  0.0000  0.0000  0.1330 x6  3 Al 2.71, 4 Mg 2.73-2.79
Pt  0.0000  0.0000  0.3986 x6  1 Al 2.51, 3 Mg 2.65

---

Entry 2:
The following is a DFT calculation (PBE) of a relaxed structure of DyGaPtAu.

## Properties
- Energy of formation from the pure elements: -3.1 eV/f.u.

Lattice parameters (Å, degrees): 6.7575 6.7575 6.7575 90.00 90.00 90.00
Closest atoms and distances in Å follow each position.
Space group F-43m (No. 216)
Symmetry-distinct sites (fractional):
Dy  0.0000  0.0000  0.0000 x4  4 Au 2.93, 4 Pt 2.93
Ga  0.0000  0.0000  0.5000 x4  4 Pt 2.93, 4 Au 2.93
Pt  0.2500  0.2500  0.2500 x4  4 Dy 2.93, 4 Ga 2.93
Au  0.2500  0.2500  0.7500 x4  4 Dy 2.93, 4 Ga 2.93

---

Entry 3:
The following is a DFT calculation (PBE) of a relaxed structure of Ba4MoCl.

## Properties
- Formation energy without anion corrections: 0.763 eV/atom

Lattice parameters (Å, degrees): 10.4735 10.4735 10.4735 90.00 90.00 90.00
Closest atoms and distances in Å follow each position.
Space group F-43m (No. 216)
Symmetry-distinct sites (fractional):
Ba  0.1245  0.1245  0.3755 x16  6 Ba 3.69-3.72
Mo  0.2500  0.2500  0.7500 x4  12 Ba 4.34, 4 Cl 4.54
Cl  0.0000  0.0000  0.0000 x4  12 Ba 4.34, 4 Mo 4.54

---

| no. | calculated volume (Å³ per cell) |
| --- | --- |
| 1 | 428.7 |
| 2 | 308.6 |
| 3 | 1148.9 |